Entry 1:
A plane-wave DFT calculation with SCAN was carried out for a crystal of Bi3SbN relaxed with PBEsol.

```
data_Bi3SbN
_chemical_formula_sum 'Bi3 Sb1 N1'
_cell_length_a 4.9469
_cell_length_b 4.9469
_cell_length_c 4.9469
_cell_angle_alpha 90.00
_cell_angle_beta 90.00
_cell_angle_gamma 90.00
_space_group_name_H-M_alt 'P m -3 m'
_space_group_IT_number 221
_space_group_name_Hall '-P 4 2 3'
loop_
_atom_site_label
_atom_site_fract_x
_atom_site_fract_y
_atom_site_fract_z
Bi1 0.0000 0.0000 0.5000
Sb1 0.5000 0.5000 0.5000
N1 0.0000 0.0000 0.0000
```

---

Entry 2:
A plane-wave DFT calculation with SCAN was carried out for a crystal of SrBiSb2N relaxed with PBEsol.

```
data_SrBiSb2N
_chemical_formula_sum 'Sr1 Bi1 Sb2 N1'
_cell_length_a 5.9625
_cell_length_b 5.9625
_cell_length_c 4.2811
_cell_angle_alpha 90.00
_cell_angle_beta 90.00
_cell_angle_gamma 90.00
_space_group_name_H-M_alt 'P 4/m m m'
_space_group_IT_number 123
_space_group_name_Hall '-P 4 2'
loop_
_atom_site_label
_atom_site_fract_x
_atom_site_fract_y
_atom_site_fract_z
Sr1 0.0000 0.0000 0.0000
Bi1 0.5000 0.5000 0.5000
Sb1 0.0000 0.5000 0.5000
N1 0.5000 0.5000 0.0000
```

---

Entry 3:
A plane-wave DFT calculation with SCAN was carried out for a crystal of ScBiN2 relaxed with PBEsol.

```
data_ScBiN2
_chemical_formula_sum 'Sc3 Bi3 N6'
_cell_length_a 3.4913
_cell_length_b 3.4913
_cell_length_c 19.6059
_cell_angle_alpha 90.00
_cell_angle_beta 90.00
_cell_angle_gamma 120.00
_space_group_name_H-M_alt 'R -3 m'
_space_group_IT_number 166
_space_group_name_Hall '-R 3 2"'
loop_
_atom_site_label
_atom_site_fract_x
_atom_site_fract_y
_atom_site_fract_z
Sc1 0.0000 0.0000 0.0000
Bi1 0.0000 0.0000 0.5000
N1 0.0000 0.0000 0.1036
```

---

Entry 4:
A plane-wave DFT calculation with SCAN was carried out for a crystal of BiSeN2 relaxed with PBEsol.

```
data_BiSeN2
_chemical_formula_sum 'Bi3 Se3 N6'
_cell_length_a 3.2017
_cell_length_b 3.2017
_cell_length_c 20.7558
_cell_angle_alpha 90.00
_cell_angle_beta 90.00
_cell_angle_gamma 120.00
_space_group_name_H-M_alt 'R -3 m'
_space_group_IT_number 166
_space_group_name_Hall '-R 3 2"'
loop_
_atom_site_label
_atom_site_fract_x
_atom_site_fract_y
_atom_site_fract_z
Bi1 0.0000 0.0000 0.0000
Se1 0.0000 0.0000 0.5000
N1 0.0000 0.0000 0.1146
```

---

Entry 5:
A plane-wave DFT calculation with SCAN was carried out for a crystal of SnBiSeN2 relaxed with PBEsol.

```
data_SnBiSeN2
_chemical_formula_sum 'Sn1 Bi1 Se1 N2'
_cell_length_a 4.1620
_cell_length_b 4.1620
_cell_length_c 5.3013
_cell_angle_alpha 90.00
_cell_angle_beta 90.00
_cell_angle_gamma 90.00
_space_group_name_H-M_alt 'P 4/m m m'
_space_group_IT_number 123
_space_group_name_Hall '-P 4 2'
loop_
_atom_site_label
_atom_site_fract_x
_atom_site_fract_y
_atom_site_fract_z
Sn1 0.0000 0.0000 0.0000
Bi1 0.5000 0.5000 0.5000
Se1 0.0000 0.0000 0.5000
N1 0.0000 0.5000 0.0000
```

---

Entry 6:
A plane-wave DFT calculation with SCAN was carried out for a crystal of SrBiSe2N relaxed with PBEsol.

```
data_SrBiSe2N
_chemical_formula_sum 'Sr1 Bi1 Se2 N1'
_cell_length_a 5.5064
_cell_length_b 5.5064
_cell_length_c 4.3462
_cell_angle_alpha 90.00
_cell_angle_beta 90.00
_cell_angle_gamma 90.00
_space_group_name_H-M_alt 'P 4/m m m'
_space_group_IT_number 123
_space_group_name_Hall '-P 4 2'
loop_
_atom_site_label
_atom_site_fract_x
_atom_site_fract_y
_atom_site_fract_z
Sr1 0.0000 0.0000 0.0000
Bi1 0.5000 0.5000 0.5000
Se1 0.0000 0.5000 0.5000
N1 0.5000 0.5000 0.0000
```

---

Entry 7:
# TaBiSe2N, PBEsol geometry, DFT SCAN
# E above lowest polymorph, meV per atom: 1783
data_TaBiSe2N
_chemical_formula_sum 'Ta1 Bi1 Se2 N1'
_cell_length_a 5.3514
_cell_length_b 5.3514
_cell_length_c 4.0403
_cell_angle_alpha 90.00
_cell_angle_beta 90.00
_cell_angle_gamma 90.00
_space_group_name_H-M_alt 'P 4/m m m'
_space_group_IT_number 123
_space_group_name_Hall '-P 4 2'
loop_
_atom_site_label
_atom_site_fract_x
_atom_site_fract_y
_atom_site_fract_z
Ta1 0.0000 0.0000 0.0000
Bi1 0.5000 0.5000 0.5000
Se1 0.0000 0.5000 0.5000
N1 0.5000 0.5000 0.0000

---

Entry 8:
# TaBiSe2N, PBEsol geometry, DFT SCAN
# E above lowest polymorph, meV per atom: 0
data_TaBiSe2N
_chemical_formula_sum 'Ta1 Bi1 Se2 N1'
_cell_length_a 5.1622
_cell_length_b 5.1622
_cell_length_c 3.8884
_cell_angle_alpha 90.00
_cell_angle_beta 90.00
_cell_angle_gamma 90.00
_space_group_name_H-M_alt 'P 4/m m m'
_space_group_IT_number 123
_space_group_name_Hall '-P 4 2'
loop_
_atom_site_label
_atom_site_fract_x
_atom_site_fract_y
_atom_site_fract_z
Ta1 0.0000 0.0000 0.0000
Bi1 0.5000 0.5000 0.5000
Se1 0.0000 0.5000 0.0000
N1 0.0000 0.0000 0.5000

---

Entry 9:
A plane-wave DFT calculation with SCAN was carried out for a crystal of YBiSeN2 relaxed with PBEsol.

```
data_YBiSeN2
_chemical_formula_sum 'Y1 Bi1 Se1 N2'
_cell_length_a 4.2867
_cell_length_b 4.2867
_cell_length_c 5.5308
_cell_angle_alpha 90.00
_cell_angle_beta 90.00
_cell_angle_gamma 90.00
_space_group_name_H-M_alt 'P 4/m m m'
_space_group_IT_number 123
_space_group_name_Hall '-P 4 2'
loop_
_atom_site_label
_atom_site_fract_x
_atom_site_fract_y
_atom_site_fract_z
Y1 0.0000 0.0000 0.0000
Bi1 0.5000 0.5000 0.5000
Se1 0.0000 0.0000 0.5000
N1 0.0000 0.5000 0.0000
```

---

Entry 10:
A plane-wave DFT calculation with SCAN was carried out for a crystal of Si3BiN relaxed with PBEsol.

```
data_Si3BiN
_chemical_formula_sum 'Si3 Bi1 N1'
_cell_length_a 5.3879
_cell_length_b 5.3879
_cell_length_c 5.3879
_cell_angle_alpha 90.00
_cell_angle_beta 90.00
_cell_angle_gamma 90.00
_space_group_name_H-M_alt 'P m -3 m'
_space_group_IT_number 221
_space_group_name_Hall '-P 4 2 3'
loop_
_atom_site_label
_atom_site_fract_x
_atom_site_fract_y
_atom_site_fract_z
Si1 0.0000 0.0000 0.5000
Bi1 0.0000 0.0000 0.0000
N1 0.5000 0.5000 0.5000
```

---

Entry 11:
A plane-wave DFT calculation with SCAN was carried out for a crystal of SiBi2N relaxed with PBEsol.

```
data_SiBi2N
_chemical_formula_sum 'Si4 Bi8 N4'
_cell_length_a 6.7842
_cell_length_b 6.7842
_cell_length_c 6.7842
_cell_angle_alpha 90.00
_cell_angle_beta 90.00
_cell_angle_gamma 90.00
_space_group_name_H-M_alt 'F m -3 m'
_space_group_IT_number 225
_space_group_name_Hall '-F 4 2 3'
loop_
_atom_site_label
_atom_site_fract_x
_atom_site_fract_y
_atom_site_fract_z
Si1 0.0000 0.0000 0.0000
Bi1 0.2500 0.2500 0.2500
N1 0.0000 0.0000 0.5000
```

---

Entry 12:
# SnBi2N, PBEsol geometry, DFT SCAN
# E above lowest polymorph, meV per atom: 444
data_SnBi2N
_chemical_formula_sum 'Sn4 Bi8 N4'
_cell_length_a 7.1246
_cell_length_b 7.1246
_cell_length_c 7.1246
_cell_angle_alpha 90.00
_cell_angle_beta 90.00
_cell_angle_gamma 90.00
_space_group_name_H-M_alt 'F m -3 m'
_space_group_IT_number 225
_space_group_name_Hall '-F 4 2 3'
loop_
_atom_site_label
_atom_site_fract_x
_atom_site_fract_y
_atom_site_fract_z
Sn1 0.0000 0.0000 0.0000
Bi1 0.2500 0.2500 0.2500
N1 0.0000 0.0000 0.5000

---

Entry 13:
# SnBi2N, PBEsol geometry, DFT SCAN
# E above lowest polymorph, meV per atom: 0
data_SnBi2N
_chemical_formula_sum 'Sn4 Bi8 N4'
_cell_length_a 5.8873
_cell_length_b 5.8873
_cell_length_c 13.0763
_cell_angle_alpha 90.00
_cell_angle_beta 90.00
_cell_angle_gamma 90.00
_space_group_name_H-M_alt 'I -4 2 d'
_space_group_IT_number 122
_space_group_name_Hall 'I -4 2bw'
loop_
_atom_site_label
_atom_site_fract_x
_atom_site_fract_y
_atom_site_fract_z
Sn1 0.0000 0.0000 0.0000
Bi1 0.1509 0.2500 0.6250
N1 0.0000 0.0000 0.5000

---

Entry 14:
A plane-wave DFT calculation with SCAN was carried out for a crystal of Sr3BiN relaxed with PBEsol.

```
data_Sr3BiN
_chemical_formula_sum 'Sr3 Bi1 N1'
_cell_length_a 5.1825
_cell_length_b 5.1825
_cell_length_c 5.1825
_cell_angle_alpha 90.00
_cell_angle_beta 90.00
_cell_angle_gamma 90.00
_space_group_name_H-M_alt 'P m -3 m'
_space_group_IT_number 221
_space_group_name_Hall '-P 4 2 3'
loop_
_atom_site_label
_atom_site_fract_x
_atom_site_fract_y
_atom_site_fract_z
Sr1 0.0000 0.0000 0.5000
Bi1 0.5000 0.5000 0.5000
N1 0.0000 0.0000 0.0000
```

---

Entry 15:
A plane-wave DFT calculation with SCAN was carried out for a crystal of TaBiTeN2 relaxed with PBEsol.

```
data_TaBiTeN2
_chemical_formula_sum 'Ta1 Bi1 Te1 N2'
_cell_length_a 4.2544
_cell_length_b 4.2544
_cell_length_c 5.8416
_cell_angle_alpha 90.00
_cell_angle_beta 90.00
_cell_angle_gamma 90.00
_space_group_name_H-M_alt 'P 4/m m m'
_space_group_IT_number 123
_space_group_name_Hall '-P 4 2'
loop_
_atom_site_label
_atom_site_fract_x
_atom_site_fract_y
_atom_site_fract_z
Ta1 0.0000 0.0000 0.0000
Bi1 0.5000 0.5000 0.5000
Te1 0.5000 0.5000 0.0000
N1 0.0000 0.5000 0.5000
```

---

Entry 16:
A plane-wave DFT calculation with SCAN was carried out for a crystal of TcBiN2 relaxed with PBEsol.

```
data_TcBiN2
_chemical_formula_sum 'Tc3 Bi3 N6'
_cell_length_a 3.3493
_cell_length_b 3.3493
_cell_length_c 19.3563
_cell_angle_alpha 90.00
_cell_angle_beta 90.00
_cell_angle_gamma 120.00
_space_group_name_H-M_alt 'R -3 m'
_space_group_IT_number 166
_space_group_name_Hall '-R 3 2"'
loop_
_atom_site_label
_atom_site_fract_x
_atom_site_fract_y
_atom_site_fract_z
Tc1 0.0000 0.0000 0.0000
Bi1 0.0000 0.0000 0.5000
N1 0.0000 0.0000 0.0955
```

---

Entry 17:
A plane-wave DFT calculation with SCAN was carried out for a crystal of Tc2BiN relaxed with PBEsol.

```
data_Tc2BiN
_chemical_formula_sum 'Tc8 Bi4 N4'
_cell_length_a 5.5445
_cell_length_b 5.5445
_cell_length_c 9.0047
_cell_angle_alpha 90.00
_cell_angle_beta 90.00
_cell_angle_gamma 90.00
_space_group_name_H-M_alt 'I -4 2 d'
_space_group_IT_number 122
_space_group_name_Hall 'I -4 2bw'
loop_
_atom_site_label
_atom_site_fract_x
_atom_site_fract_y
_atom_site_fract_z
Tc1 0.1181 0.7500 0.1250
Bi1 0.0000 0.0000 0.5000
N1 0.0000 0.0000 0.0000
```

---

Entry 18:
# BiTe2N2, PBEsol geometry, DFT SCAN
# E above lowest polymorph, meV per atom: 0
data_BiTe2N2
_chemical_formula_sum 'Bi1 Te2 N2'
_cell_length_a 4.2466
_cell_length_b 4.2466
_cell_length_c 5.6869
_cell_angle_alpha 90.00
_cell_angle_beta 90.00
_cell_angle_gamma 90.00
_space_group_name_H-M_alt 'P 4/m m m'
_space_group_IT_number 123
_space_group_name_Hall '-P 4 2'
loop_
_atom_site_label
_atom_site_fract_x
_atom_site_fract_y
_atom_site_fract_z
Bi1 0.0000 0.0000 0.0000
Te1 0.5000 0.5000 0.0000
Te2 0.5000 0.5000 0.5000
N1 0.0000 0.5000 0.5000

---

Entry 19:
# BiTe2N2, PBEsol geometry, DFT SCAN
# E above lowest polymorph, meV per atom: 634
data_BiTe2N2
_chemical_formula_sum 'Bi1 Te2 N2'
_cell_length_a 5.9617
_cell_length_b 5.9617
_cell_length_c 4.2769
_cell_angle_alpha 90.00
_cell_angle_beta 90.00
_cell_angle_gamma 90.00
_space_group_name_H-M_alt 'P 4/m m m'
_space_group_IT_number 123
_space_group_name_Hall '-P 4 2'
loop_
_atom_site_label
_atom_site_fract_x
_atom_site_fract_y
_atom_site_fract_z
Bi1 0.0000 0.0000 0.0000
Te1 0.0000 0.5000 0.0000
N1 0.0000 0.0000 0.5000
N2 0.5000 0.5000 0.5000

---

Entry 20:
A plane-wave DFT calculation with SCAN was carried out for a crystal of TiBiTeN2 relaxed with PBEsol.

```
data_TiBiTeN2
_chemical_formula_sum 'Ti1 Bi1 Te1 N2'
_cell_length_a 4.1039
_cell_length_b 4.1039
_cell_length_c 5.4239
_cell_angle_alpha 90.00
_cell_angle_beta 90.00
_cell_angle_gamma 90.00
_space_group_name_H-M_alt 'P 4/m m m'
_space_group_IT_number 123
_space_group_name_Hall '-P 4 2'
loop_
_atom_site_label
_atom_site_fract_x
_atom_site_fract_y
_atom_site_fract_z
Ti1 0.0000 0.0000 0.0000
Bi1 0.5000 0.5000 0.5000
Te1 0.0000 0.0000 0.5000
N1 0.0000 0.5000 0.0000
```

---

For the records above, the corresponding formation energy (no corrections) values read 0.6583 0.6102 0.4646 1.1812 1.0549 -0.1165 1.6531 -0.1297 0.5429 2.6298 1.2703 1.1283 0.6844 -1.0212 2.1085 1.0248 0.4362 1.4368 2.0705 0.4000 eV per atom.
For the records above, the corresponding calculated density values read 10.462 6.046 6.787 8.542 7.860 5.904 8.063 9.004 6.615 3.262 9.786 10.114 8.070 5.796 8.568 8.874 10.053 7.969 5.377 7.498 Mg/m³.